Run a
## BaAsOs3 (PBE)

Data for BaAsOs3 after structural relaxation.

Properties
DOS at the Fermi energy	1.936	states/eV per atom
crystal system	cubic

Structure (CIF):
```
data_BaAsOs3
_chemical_formula_sum 'Ba1 As1 Os3'
_symmetry_space_group_name_H-M 'P m -3 m'
_symmetry_Int_Tables_number 221
_symmetry_space_group_name_Hall '-P 4 2 3'
_cell_length_a 5.0623
_cell_length_b 5.0623
_cell_length_c 5.0623
_cell_angle_alpha 90.00
_cell_angle_beta 90.00
_cell_angle_gamma 90.00
loop_
_atom_site_label
_atom_site_type_symbol
_atom_site_fract_x
_atom_site_fract_y
_atom_site_fract_z
_atom_site_occupancy
Ba1 Ba 0.0000 0.0000 0.0000 1
As1 As 0.5000 0.5000 0.5000 1
Os1 Os 0.0000 0.0000 0.5000 1
```

Run b
## BaAsOs3 (PBE)

Data for BaAsOs3 after structural relaxation.

Properties
DOS at the Fermi energy	1.315	states/eV per atom
crystal system	cubic

Structure (CIF):
```
data_BaAsOs3
_chemical_formula_sum 'Ba1 As1 Os3'
_symmetry_space_group_name_H-M 'P m -3 m'
_symmetry_Int_Tables_number 221
_symmetry_space_group_name_Hall '-P 4 2 3'
_cell_length_a 4.7263
_cell_length_b 4.7263
_cell_length_c 4.7263
_cell_angle_alpha 90.00
_cell_angle_beta 90.00
_cell_angle_gamma 90.00
loop_
_atom_site_label
_atom_site_type_symbol
_atom_site_fract_x
_atom_site_fract_y
_atom_site_fract_z
_atom_site_occupancy
Ba1 Ba 0.0000 0.0000 0.0000 1
As1 As 0.5000 0.5000 0.5000 1
Os1 Os 0.0000 0.5000 0.5000 1
```

run b comes first in stability; the runner-up is 2564 meV/atom higher.

Run a
## BaAsP (PBE)

Data for BaAsP after structural relaxation.

Properties
DOS at the Fermi energy	0.470	states/eV per atom
crystal system	tetragonal

Structure (CIF):
```
data_BaAsP
_chemical_formula_sum 'Ba2 As2 P2'
_symmetry_space_group_name_H-M 'I 4 m m'
_symmetry_Int_Tables_number 107
_symmetry_space_group_name_Hall 'I 4 -2'
_cell_length_a 4.6565
_cell_length_b 4.6565
_cell_length_c 8.6066
_cell_angle_alpha 90.00
_cell_angle_beta 90.00
_cell_angle_gamma 90.00
loop_
_atom_site_label
_atom_site_type_symbol
_atom_site_fract_x
_atom_site_fract_y
_atom_site_fract_z
_atom_site_occupancy
Ba1 Ba 0.0000 0.0000 0.0000 1
As1 As 0.0000 0.0000 0.6266 1
P1 P 0.0000 0.0000 0.3732 1
```

Run b
## BaAsP (PBE)

Data for BaAsP after structural relaxation.

Properties
DOS at the Fermi energy	0.752	states/eV per atom
crystal system	cubic

Structure (CIF):
```
data_BaAsP
_chemical_formula_sum 'Ba4 As4 P4'
_symmetry_space_group_name_H-M 'F -4 3 m'
_symmetry_Int_Tables_number 216
_symmetry_space_group_name_Hall 'F -4 2 3'
_cell_length_a 7.3617
_cell_length_b 7.3617
_cell_length_c 7.3617
_cell_angle_alpha 90.00
_cell_angle_beta 90.00
_cell_angle_gamma 90.00
loop_
_atom_site_label
_atom_site_type_symbol
_atom_site_fract_x
_atom_site_fract_y
_atom_site_fract_z
_atom_site_occupancy
Ba1 Ba 0.0000 0.0000 0.0000 1
As1 As 0.2500 0.2500 0.7500 1
P1 P 0.2500 0.2500 0.2500 1
```

Run c
## BaAsP (PBE)

Data for BaAsP after structural relaxation.

Properties
DOS at the Fermi energy	0.310	states/eV per atom
crystal system	orthorhombic

Structure (CIF):
```
data_BaAsP
_chemical_formula_sum 'Ba4 As4 P4'
_symmetry_space_group_name_H-M 'F m m 2'
_symmetry_Int_Tables_number 42
_symmetry_space_group_name_Hall 'F 2 -2'
_cell_length_a 5.1203
_cell_length_b 5.4664
_cell_length_c 11.1143
_cell_angle_alpha 90.00
_cell_angle_beta 90.00
_cell_angle_gamma 90.00
loop_
_atom_site_label
_atom_site_type_symbol
_atom_site_fract_x
_atom_site_fract_y
_atom_site_fract_z
_atom_site_occupancy
Ba1 Ba 0.0000 0.0000 0.0000 1
As1 As 0.0000 0.0000 0.2811 1
P1 P 0.0000 0.0000 0.7181 1
```

run a comes first in stability; the runner-up is 185 meV/atom higher.

Run a
## BaAsP (PBE)

Data for BaAsP after structural relaxation.

Properties
DOS at the Fermi energy	0.557	states/eV per atom
crystal system	cubic

Structure (CIF):
```
data_BaAsP
_chemical_formula_sum 'Ba4 As4 P4'
_symmetry_space_group_name_H-M 'F -4 3 m'
_symmetry_Int_Tables_number 216
_symmetry_space_group_name_Hall 'F -4 2 3'
_cell_length_a 7.1437
_cell_length_b 7.1437
_cell_length_c 7.1437
_cell_angle_alpha 90.00
_cell_angle_beta 90.00
_cell_angle_gamma 90.00
loop_
_atom_site_label
_atom_site_type_symbol
_atom_site_fract_x
_atom_site_fract_y
_atom_site_fract_z
_atom_site_occupancy
Ba1 Ba 0.0000 0.0000 0.0000 1
As1 As 0.0000 0.0000 0.5000 1
P1 P 0.2500 0.2500 0.7500 1
```

Run b
## BaAsP (PBE)

Data for BaAsP after structural relaxation.

Properties
DOS at the Fermi energy	0.304	states/eV per atom
crystal system	trigonal

Structure (CIF):
```
data_BaAsP
_chemical_formula_sum 'Ba1 As1 P1'
_symmetry_space_group_name_H-M 'P 3 m 1'
_symmetry_Int_Tables_number 156
_symmetry_space_group_name_Hall 'P 3 -2"'
_cell_length_a 4.4942
_cell_length_b 4.4942
_cell_length_c 4.7030
_cell_angle_alpha 90.00
_cell_angle_beta 90.00
_cell_angle_gamma 120.00
loop_
_atom_site_label
_atom_site_type_symbol
_atom_site_fract_x
_atom_site_fract_y
_atom_site_fract_z
_atom_site_occupancy
Ba1 Ba 0.0000 0.0000 0.0000 1
As1 As 0.3333 0.6667 0.4744 1
P1 P 0.6667 0.3333 0.5421 1
```

Run c
## BaAsP (PBE)

Data for BaAsP after structural relaxation.

Properties
DOS at the Fermi energy	0.464	states/eV per atom
crystal system	monoclinic

Structure (CIF):
```
data_BaAsP
_chemical_formula_sum 'Ba4 As4 P4'
_symmetry_space_group_name_H-M 'P 1 21/c 1'
_symmetry_Int_Tables_number 14
_symmetry_space_group_name_Hall '-P 2ybc'
_cell_length_a 5.9815
_cell_length_b 6.8574
_cell_length_c 8.8122
_cell_angle_alpha 90.00
_cell_angle_beta 112.53
_cell_angle_gamma 90.00
loop_
_atom_site_label
_atom_site_type_symbol
_atom_site_fract_x
_atom_site_fract_y
_atom_site_fract_z
_atom_site_occupancy
Ba1 Ba 0.1628 0.1882 0.4106 1
As1 As 0.4929 0.5051 0.3036 1
P1 P 0.2893 0.6846 0.4530 1
```

run c comes first in stability; the runner-up is 7 meV/atom higher.

Run a
## BaAs3P (PBE)

Data for BaAs3P after structural relaxation.

Properties
crystal system	triclinic

Structure (CIF):
```
data_BaAs3P
_chemical_formula_sum 'Ba2 As6 P2'
_symmetry_space_group_name_H-M 'P 1'
_symmetry_Int_Tables_number 1
_symmetry_space_group_name_Hall 'P 1'
_cell_length_a 6.3182
_cell_length_b 7.3477
_cell_length_c 7.6266
_cell_angle_alpha 100.67
_cell_angle_beta 113.60
_cell_angle_gamma 107.51
loop_
_atom_site_label
_atom_site_type_symbol
_atom_site_fract_x
_atom_site_fract_y
_atom_site_fract_z
_atom_site_occupancy
Ba1 Ba 0.0000 0.0000 0.0000 1
Ba2 Ba 0.4489 0.4059 0.7427 1
As1 As 0.0142 0.5732 0.7326 1
As2 As 0.3279 0.4838 0.1304 1
As3 As 0.3748 0.8910 0.8130 1
As4 As 0.4696 0.8528 0.2729 1
As5 As 0.7092 0.4200 0.3405 1
As6 As 0.9347 0.9789 0.4524 1
P1 P 0.3293 0.7144 0.4946 1
P2 P 0.9446 0.6848 0.2779 1
```

Run b
## BaAs3P (PBE)

Data for BaAs3P after structural relaxation.

Properties
DOS at the Fermi energy	1.161	states/eV per atom
crystal system	cubic

Structure (CIF):
```
data_BaAs3P
_chemical_formula_sum 'Ba1 As3 P1'
_symmetry_space_group_name_H-M 'P m -3 m'
_symmetry_Int_Tables_number 221
_symmetry_space_group_name_Hall '-P 4 2 3'
_cell_length_a 5.7674
_cell_length_b 5.7674
_cell_length_c 5.7674
_cell_angle_alpha 90.00
_cell_angle_beta 90.00
_cell_angle_gamma 90.00
loop_
_atom_site_label
_atom_site_type_symbol
_atom_site_fract_x
_atom_site_fract_y
_atom_site_fract_z
_atom_site_occupancy
Ba1 Ba 0.0000 0.0000 0.0000 1
As1 As 0.0000 0.0000 0.5000 1
P1 P 0.5000 0.5000 0.5000 1
```

Run c
## BaAs3P (PBE)

Data for BaAs3P after structural relaxation.

Properties
DOS at the Fermi energy	0.932	states/eV per atom
crystal system	cubic

Structure (CIF):
```
data_BaAs3P
_chemical_formula_sum 'Ba1 As3 P1'
_symmetry_space_group_name_H-M 'P m -3 m'
_symmetry_Int_Tables_number 221
_symmetry_space_group_name_Hall '-P 4 2 3'
_cell_length_a 5.0036
_cell_length_b 5.0036
_cell_length_c 5.0036
_cell_angle_alpha 90.00
_cell_angle_beta 90.00
_cell_angle_gamma 90.00
loop_
_atom_site_label
_atom_site_type_symbol
_atom_site_fract_x
_atom_site_fract_y
_atom_site_fract_z
_atom_site_occupancy
Ba1 Ba 0.0000 0.0000 0.0000 1
As1 As 0.0000 0.5000 0.5000 1
P1 P 0.5000 0.5000 0.5000 1
```

run a comes first in stability; the runner-up is 287 meV/atom higher.

Run a
## Ba2As2P (PBE)

Data for Ba2As2P after structural relaxation.

Properties
DOS at the Fermi energy	1.069	states/eV per atom
crystal system	tetragonal

Structure (CIF):
```
data_Ba2As2P
_chemical_formula_sum 'Ba4 As4 P2'
_symmetry_space_group_name_H-M 'P 4/m b m'
_symmetry_Int_Tables_number 127
_symmetry_space_group_name_Hall '-P 4 2ab'
_cell_length_a 7.8839
_cell_length_b 7.8839
_cell_length_c 4.7652
_cell_angle_alpha 90.00
_cell_angle_beta 90.00
_cell_angle_gamma 90.00
loop_
_atom_site_label
_atom_site_type_symbol
_atom_site_fract_x
_atom_site_fract_y
_atom_site_fract_z
_atom_site_occupancy
Ba1 Ba 0.1855 0.3145 0.0000 1
As1 As 0.1122 0.6122 0.5000 1
P1 P 0.0000 0.0000 0.5000 1
```

Run b
## Ba2As2P (PBE)

Data for Ba2As2P after structural relaxation.

Properties
DOS at the Fermi energy	0.195	states/eV per atom
crystal system	monoclinic

Structure (CIF):
```
data_Ba2As2P
_chemical_formula_sum 'Ba8 As8 P4'
_symmetry_space_group_name_H-M 'C 1 2/m 1'
_symmetry_Int_Tables_number 12
_symmetry_space_group_name_Hall '-C 2y'
_cell_length_a 12.2430
_cell_length_b 4.4681
_cell_length_c 11.8867
_cell_angle_alpha 90.00
_cell_angle_beta 111.32
_cell_angle_gamma 90.00
loop_
_atom_site_label
_atom_site_type_symbol
_atom_site_fract_x
_atom_site_fract_y
_atom_site_fract_z
_atom_site_occupancy
Ba1 Ba 0.0838 0.0000 0.4036 1
Ba2 Ba 0.1813 0.5000 0.1362 1
As1 As 0.0673 0.0000 0.8880 1
As2 As 0.1632 0.5000 0.6494 1
P1 P 0.0610 0.5000 0.7866 1
```

run b comes first in stability; the runner-up is 165 meV/atom higher.